Entry 1:
K5Nb4O12F, relaxed, DFT PBE; spin magnetization = 0.00 μB/f.u.; uncorrected energy = -7.35 eV per atom; formation energy without anion corrections = -54.64 eV/f.u.
1.0
5.1734 0.0000 0.0000
0.0000 12.0622 0.0000
-4.6302 0.0000 12.0915
K Nb O F
10 8 24 2
Direct
0.0000 0.0000 0.0000
0.0000 0.5000 0.5000
0.2762 0.1482 0.8309
0.2762 0.3518 0.3309
0.4068 0.6681 0.3490
0.4068 0.8319 0.8490
0.5932 0.1681 0.1510
0.5932 0.3319 0.6510
0.7238 0.6482 0.6691
0.7238 0.8518 0.1691
0.0624 0.6431 0.0220
0.0624 0.8569 0.5220
0.3298 0.0119 0.3552
0.3298 0.4881 0.8552
0.6702 0.5119 0.1448
0.6702 0.9881 0.6448
0.9376 0.1431 0.4780
0.9376 0.3569 0.9780
0.0100 0.1050 0.3321
0.0100 0.3950 0.8321
0.0800 0.2182 0.0006
0.0800 0.2818 0.5006
0.1493 0.6273 0.8838
0.1493 0.8727 0.3838
0.2835 0.0415 0.5392
0.2835 0.4585 0.0392
0.3170 0.5222 0.7174
0.3170 0.9778 0.2174
0.4451 0.6600 0.1207
0.4451 0.8400 0.6207
0.5549 0.1600 0.3793
0.5549 0.3400 0.8793
0.6830 0.0222 0.7826
0.6830 0.4778 0.2826
0.7165 0.5415 0.9608
0.7165 0.9585 0.4608
0.8507 0.1273 0.6162
0.8507 0.3727 0.1162
0.9200 0.7182 0.4994
0.9200 0.7818 0.9994
0.9900 0.6050 0.1679
0.9900 0.8950 0.6679
0.5000 0.0000 0.0000
0.5000 0.5000 0.5000

Entry 2:
KSrNb2O6F, relaxed, DFT PBE; spin magnetization = 0.00 μB/f.u.; uncorrected energy = -7.76 eV per atom; formation energy without anion corrections = -30.77 eV/f.u.
1.0
-1.9566 3.8916 11.4083
1.9566 -3.8916 11.4083
1.9566 3.8916 -11.4083
K Sr Nb O F
2 2 4 12 2
Direct
0.2364 0.2364 0.0000
0.7636 0.7636 0.0000
0.0000 0.0000 0.0000
0.5000 0.0000 0.5000
0.1392 0.3929 0.7464
0.3535 0.6071 0.7464
0.6465 0.3929 0.2536
0.8608 0.6071 0.2536
0.0361 0.3146 0.7215
0.0778 0.5778 0.5000
0.1633 0.9154 0.2479
0.3325 0.0846 0.2479
0.4062 0.4062 0.0000
0.4069 0.6854 0.7215
0.5931 0.3146 0.2785
0.5938 0.5938 0.0000
0.6675 0.9154 0.7521
0.8367 0.0846 0.7521
0.9222 0.4222 0.5000
0.9639 0.6854 0.2785
0.2762 0.5000 0.7762
0.7238 0.5000 0.2238